Record 1
Below is PmNi6Sn6 after structural relaxation, with properties calculated at the PBE-GGA level.

Unit cell a=5.4850 b=6.9736 c=6.9736 alpha=77.10 beta=66.84 gamma=66.84
Fractional coordinates of all 13 atoms:
Pm: 0.0000 0.0000 0.0000
Ni: 0.0000 0.5000 0.0000
Ni: 0.5000 0.5000 0.0000
Ni: 0.0000 0.0000 0.5000
Ni: 0.5000 0.0000 0.5000
Ni: 0.5000 0.7501 0.2499
Ni: 0.5000 0.2499 0.7501
Sn: 0.3369 0.6631 0.6631
Sn: 0.6631 0.3369 0.3369
Sn: 0.0000 0.3380 0.6620
Sn: 0.0000 0.6620 0.3380
Sn: 0.3301 0.1699 0.1699
Sn: 0.6699 0.8301 0.8301

## Properties
Space-group type   Immm, No. 71
Calculated formation energy   -3.98 eV per formula unit
Total energy   -5.19 eV/atom
Calculated volume   17.29 A^3/atom
Total moment   0.00 μB per formula unit
DOS at the Fermi energy   7.37 states/eV/cell



Record 2
Below is NaHfSc after structural relaxation, with properties calculated at the PBE-GGA level.

Unit cell a=3.9244 b=3.3834 c=12.5015 alpha=90.00 beta=90.00 gamma=90.00
Fractional coordinates of all 6 atoms:
Sc: 0.0000 0.0000 0.6840
Sc: 0.5000 0.5000 0.5457
Na: 0.0000 0.0000 0.3485
Na: 0.5000 0.5000 0.1308
Hf: 0.5000 0.5000 0.8094
Hf: 0.0000 0.0000 0.9350

## Properties
Space-group type   Pmm2, No. 25
Calculated formation energy   0.73 eV per formula unit
Total energy   -5.63 eV/atom
Distance to the lowest polymorph of the same formula   83 meV per atom
Calculated volume   27.66 A^3/atom
Total moment   0.00 μB per formula unit
DOS at the Fermi energy   4.41 states/eV/cell



Record 3
Below is ZnCrNi2 after structural relaxation, with properties calculated at the PBE-GGA level.

Unit cell a=2.5537 b=3.5061 c=5.2572 alpha=90.00 beta=90.00 gamma=90.00
Fractional coordinates of all 4 atoms:
Cr: 0.5000 0.5000 0.7500
Ni: 0.0000 0.0000 0.9902
Ni: 0.0000 0.0000 0.5098
Zn: 0.5000 0.5000 0.2500

## Properties
Space-group type   Pmmm, No. 47
Calculated formation energy   -0.08 eV per formula unit
Total energy   -5.64 eV/atom
Calculated volume   11.77 A^3/atom
Total moment   1.53 μB per formula unit
DOS at the Fermi energy   3.77 states/eV/cell



Record 4
Below is Cs12Pt3I5 after structural relaxation, with properties calculated at the PBE-GGA level.

Unit cell a=18.6781 b=18.6781 c=18.6781 alpha=109.47 beta=109.47 gamma=109.47
Fractional coordinates of all 80 atoms:
Pt: 0.7500 0.3750 0.1250
Pt: 0.8750 0.7500 0.1250
Pt: 0.3750 0.7500 0.6250
Pt: 0.2500 0.1250 0.3750
Pt: 0.8750 0.1250 0.2500
Pt: 0.3750 0.6250 0.2500
Pt: 0.6250 0.3750 0.7500
Pt: 0.1250 0.8750 0.7500
Pt: 0.7500 0.8750 0.6250
Pt: 0.6250 0.2500 0.3750
Pt: 0.1250 0.2500 0.8750
Pt: 0.2500 0.6250 0.8750
I: 0.1250 0.3750 0.2500
I: 0.0000 0.5000 0.0000
I: 0.0000 0.0000 0.0000
I: 0.3750 0.2500 0.1250
I: 0.5000 0.0000 0.5000
I: 0.5000 0.5000 0.0000
I: 0.1250 0.7500 0.3750
I: 0.7500 0.1250 0.8750
I: 0.7500 0.6250 0.3750
I: 0.3750 0.1250 0.7500
I: 0.6250 0.8750 0.2500
I: 0.5000 0.5000 0.5000
I: 0.5000 0.0000 0.0000
I: 0.0000 0.0000 0.5000
I: 0.2500 0.3750 0.6250
I: 0.2500 0.8750 0.1250
I: 0.0000 0.5000 0.5000
I: 0.8750 0.2500 0.6250
I: 0.6250 0.7500 0.8750
I: 0.8750 0.6250 0.7500
Cs: 0.7405 0.1336 0.0714
Cs: 0.3309 0.5714 0.4378
Cs: 0.9286 0.3664 0.2595
Cs: 0.5714 0.2405 0.1336
Cs: 0.6069 0.7405 0.6691
Cs: 0.9286 0.5622 0.1691
Cs: 0.3309 0.7595 0.3931
Cs: 0.0622 0.8931 0.1336
Cs: 0.5622 0.9286 0.6691
Cs: 0.7405 0.6069 0.1691
Cs: 0.7595 0.4286 0.3664
Cs: 0.8309 0.9378 0.0714
Cs: 0.1336 0.7405 0.5714
Cs: 0.3664 0.4378 0.1069
Cs: 0.1069 0.9378 0.3664
Cs: 0.3931 0.1336 0.5622
Cs: 0.1069 0.1691 0.2405
Cs: 0.4286 0.6691 0.0622
Cs: 0.8309 0.8931 0.2595
Cs: 0.1336 0.3931 0.0622
Cs: 0.3664 0.9286 0.7595
Cs: 0.5622 0.6336 0.3931
Cs: 0.9378 0.8309 0.5714
Cs: 0.7595 0.3309 0.8931
Cs: 0.4378 0.3664 0.6069
Cs: 0.0622 0.1691 0.4286
Cs: 0.2405 0.6691 0.1069
Cs: 0.1691 0.1069 0.7405
Cs: 0.6336 0.0714 0.2405
Cs: 0.8664 0.6069 0.9378
Cs: 0.5714 0.3309 0.9378
Cs: 0.6069 0.8664 0.4378
Cs: 0.8931 0.8309 0.7595
Cs: 0.8931 0.0622 0.6336
Cs: 0.8664 0.2595 0.4286
Cs: 0.1691 0.0622 0.9286
Cs: 0.6336 0.5622 0.8931
Cs: 0.4378 0.0714 0.3309
Cs: 0.2595 0.3931 0.8309
Cs: 0.2405 0.5714 0.6336
Cs: 0.9378 0.1069 0.8664
Cs: 0.6691 0.2405 0.6069
Cs: 0.4286 0.7595 0.8664
Cs: 0.0714 0.4378 0.8309
Cs: 0.3931 0.2595 0.3309
Cs: 0.0714 0.6336 0.7405
Cs: 0.6691 0.4286 0.5622
Cs: 0.2595 0.8664 0.9286

## Properties
Space-group type   Ia-3d, No. 230
Total energy   -2.46 eV/atom
Calculated volume   62.70 A^3/atom
Energy relative to the elements, uncorrected   -0.6512 eV per atom
Total moment   0.97 μB per formula unit
DOS at the Fermi energy   25.48 states/eV/cell



Record 5
Below is TbDyGe2 after structural relaxation, with properties calculated at the PBE-GGA level.

Unit cell a=4.1696 b=4.1696 c=7.1541 alpha=73.06 beta=73.06 gamma=60.00
Fractional coordinates of all 4 atoms:
Ge: 0.7496 0.7496 0.7512
Ge: 0.2504 0.2504 0.2488
Tb: 0.5000 0.5000 0.5000
Dy: 0.0000 0.0000 0.0000

## Properties
Space-group type   R-3m, No. 166
Calculated formation energy   -2.65 eV per formula unit
Total energy   -5.28 eV/atom
Distance to the lowest polymorph of the same formula   211 meV per atom
Calculated volume   25.36 A^3/atom
Total moment   0.00 μB per formula unit
DOS at the Fermi energy   3.46 states/eV/cell